[1]
# CeZr6N8 | Alexandria | PBE | optimized geometry
data_CeZr6N8
_chemical_formula_sum 'Ce1 Zr6 N8'
_cell_length_a 8.6741
_cell_length_b 8.6741
_cell_length_c 3.2834
_cell_angle_alpha 90.00
_cell_angle_beta 90.00
_cell_angle_gamma 120.00
_space_group_name_H-M_alt 'P -3'
_space_group_IT_number 147
_space_group_name_Hall '-P 3'
loop_
_atom_site_label
_atom_site_fract_x
_atom_site_fract_y
_atom_site_fract_z
Ce1 0.0000 0.0000 0.0000
Zr1 0.1394 0.6870 0.7372
N1 0.0372 0.3598 0.7669
N2 0.3333 0.6667 0.2404
# Calculated total energy = -9.520 eV per atom
# Magnetic moment = 1.87 μB per cell
# E_form (uncorrected) = -18.972 eV/f.u.

---

[2]
# CeZrN | Alexandria | PBE | optimized geometry
data_CeZrN
_chemical_formula_sum 'Ce1 Zr1 N1'
_cell_length_a 3.3550
_cell_length_b 3.3550
_cell_length_c 5.8886
_cell_angle_alpha 90.00
_cell_angle_beta 90.00
_cell_angle_gamma 120.00
_space_group_name_H-M_alt 'P 3 m 1'
_space_group_IT_number 156
_space_group_name_Hall 'P 3 -2"'
loop_
_atom_site_label
_atom_site_fract_x
_atom_site_fract_y
_atom_site_fract_z
Ce1 0.0000 0.0000 0.0000
Zr1 0.6667 0.3333 0.4617
N1 0.3333 0.6667 0.2643
# Calculated total energy = -8.566 eV per atom
# Energy above the most stable polymorph in this dataset = 3.2 kJ/mol of atoms
# Magnetic moment = 0.95 μB per cell
# E_form (uncorrected) = -2.891 eV/f.u.

---

[3]
# CeZr2N | Alexandria | PBE | optimized geometry
data_CeZr2N
_chemical_formula_sum 'Ce1 Zr2 N1'
_cell_length_a 2.958
_cell_length_b 2.958
_cell_length_c 8.317
_cell_angle_alpha 90.00
_cell_angle_beta 90.00
_cell_angle_gamma 90.00
_space_group_name_H-M_alt 'P 4/m m m'
_space_group_IT_number 123
_space_group_name_Hall '-P 4 2'
loop_
_atom_site_label
_atom_site_fract_x
_atom_site_fract_y
_atom_site_fract_z
Ce1 0.000 0.000 0.000
Zr1 0.500 0.500 0.333
N1 0.000 0.000 0.500
# Calculated total energy = -7.998 eV per atom
# Energy above the most stable polymorph in this dataset = 58.8 kJ/mol of atoms
# Magnetic moment = 0.00 μB per cell
# E_form (uncorrected) = -0.637 eV/f.u.

---

[4]
# CeZrN | Alexandria | PBE | optimized geometry
data_CeZrN
_chemical_formula_sum 'Ce2 Zr2 N2'
_cell_length_a 3.273
_cell_length_b 5.191
_cell_length_c 6.630
_cell_angle_alpha 90.00
_cell_angle_beta 90.00
_cell_angle_gamma 90.00
_space_group_name_H-M_alt 'P m m n'
_space_group_IT_number 59
loop_
_space_group_symop_operation_xyz
'x,y,z'
'-x,-y,-z'
'-x+1/2,-y+1/2,z'
'x+1/2,y+1/2,-z'
'x+1/2,-y,-z'
'-x+1/2,y,z'
'-x,y+1/2,-z'
'x,-y+1/2,z'
loop_
_atom_site_label
_atom_site_fract_x
_atom_site_fract_y
_atom_site_fract_z
Ce1 0.250 0.250 0.129
Zr1 0.250 0.250 0.633
N1 0.250 0.750 0.145
# Calculated total energy = -8.599 eV per atom
# Energy above the most stable polymorph in this dataset = 0.0 kJ/mol of atoms
# Magnetic moment = 0.00 μB per cell
# E_form (uncorrected) = -2.990 eV/f.u.

---

[5]
# Ce5Zr3N8 | Alexandria | PBE | optimized geometry
data_Ce5Zr3N8
_chemical_formula_sum 'Ce15 Zr9 N24'
_cell_length_a 6.8533
_cell_length_b 6.8533
_cell_length_c 17.0581
_cell_angle_alpha 90.00
_cell_angle_beta 90.00
_cell_angle_gamma 120.00
_space_group_name_H-M_alt 'R -3 m'
_space_group_IT_number 166
_space_group_name_Hall '-R 3 2"'
loop_
_atom_site_label
_atom_site_fract_x
_atom_site_fract_y
_atom_site_fract_z
Ce1 0.0000 0.0000 0.0000
Ce2 0.0000 0.0000 0.5000
Ce3 0.0000 0.5000 0.0000
Zr1 0.0000 0.5000 0.5000
N1 0.0000 0.0000 0.2424
N2 0.0138 0.5069 0.7572
# Calculated total energy = -9.220 eV per atom
# Magnetic moment = 0.00 μB per cell
# E_form (uncorrected) = -25.609 eV/f.u.

---

[6]
# Ce4ZrN6 | Alexandria | PBE | optimized geometry
data_Ce4ZrN6
_chemical_formula_sum 'Ce24 Zr6 N36'
_cell_length_a 9.8842
_cell_length_b 9.8842
_cell_length_c 11.7497
_cell_angle_alpha 90.00
_cell_angle_beta 90.00
_cell_angle_gamma 120.00
_space_group_name_H-M_alt 'R -3 c'
_space_group_IT_number 167
_space_group_name_Hall '-R 3 2"c'
loop_
_atom_site_label
_atom_site_fract_x
_atom_site_fract_y
_atom_site_fract_z
Ce1 0.0000 0.0000 0.2500
Ce2 0.0000 0.3504 0.2500
Zr1 0.0000 0.0000 0.0000
N1 0.0285 0.1938 0.3870
# Calculated total energy = -8.834 eV per atom
# Magnetic moment = 11.39 μB per cell
# E_form (uncorrected) = -14.942 eV/f.u.